A relaxed structure of Ce6P2C. Source: the Alexandria database, functional PBE.

Theoretical density: 6.1 Mg/m³
E: -6.68 eV per atom

a b c (Å): 6.5693 6.5693 11.5037
angles (deg): 90.00 90.00 90.00
With the nearest neighbours (Å) after each atom.
Sites, in units of the cell vectors:
Ce (0.1989, 0.1989, 0.1528)  1 C 2.55, 2 P 2.80-2.81
Ce (0.1989, 0.1989, 0.8472)  1 C 2.55, 2 P 2.80-2.81
Ce (0.2283, 0.2283, 0.5000)  1 C 2.52
Ce (0.2717, 0.7283, 0.0000)  1 C 2.52
Ce (0.3011, 0.6989, 0.3472)  1 C 2.55, 2 P 2.80-2.81
Ce (0.3011, 0.6989, 0.6528)  1 C 2.55, 2 P 2.80-2.81
Ce (0.6989, 0.3011, 0.3472)  1 C 2.55, 2 P 2.80-2.81
Ce (0.6989, 0.3011, 0.6528)  1 C 2.55, 2 P 2.80-2.81
Ce (0.7283, 0.2717, 0.0000)  1 C 2.52
Ce (0.7717, 0.7717, 0.5000)  1 C 2.52
Ce (0.8011, 0.8011, 0.1528)  1 C 2.55, 2 P 2.80-2.81
Ce (0.8011, 0.8011, 0.8472)  1 C 2.55, 2 P 2.80-2.81
P (0.0000, 0.0000, 0.3364)  6 Ce 2.80-2.84
P (0.0000, 0.0000, 0.6636)  6 Ce 2.80-2.84
P (0.5000, 0.5000, 0.1636)  6 Ce 2.80-2.84
P (0.5000, 0.5000, 0.8364)  6 Ce 2.80-2.84
C (0.0000, 0.0000, 0.0000)  6 Ce 2.52-2.55
C (0.5000, 0.5000, 0.5000)  6 Ce 2.52-2.55